A plane-wave DFT calculation with PBE was carried out for an optimized crystal structure of SiRuSe2.

Calculated values
formation energy without anion corrections: 0.516 eV/atom
calculated total energy: -4.9013 eV/atom

Cell lengths 4.8011, 4.8011, 4.8011 Å; angles 128.59, 128.59, 75.67 degrees
Closest atoms and distances in Å follow each position.
Atoms (fractional coordinates):
Ru  0.7500  0.2500  0.5000  8 Se 2.82-2.94, 4 Si 2.82
Se  0.0000  0.0000  0.0000  4 Ru 2.82, 4 Se 2.82, 4 Si 2.94
Se  0.2500  0.7500  0.5000  4 Se 2.82, 4 Si 2.82, 4 Ru 2.94
Si  0.5000  0.5000  0.0000  8 Se 2.82-2.94, 4 Ru 2.82